No. 1
DFT (GGA-PBE) results for LiPu2Ru after structural relaxation.

Its formation energy is 0.0168 eV per atom. The density of states at the Fermi level is 2.95 states/eV per atom. The total energy comes out at -9.947 eV/atom. The calculated volume comes out at 22.8 Å³ per atom.

It has space group P4/mmm (No. 123), with a = 3.248 Å, b = 3.248 Å, c = 8.658 Å, α = 90.00°, β = 90.00° and γ = 90.00°. The asymmetric unit holds Li at (0.000, 0.000, 0.000), Pu at (0.500, 0.500, 0.296) and Ru at (0.000, 0.000, 0.500).

---

No. 2
DFT (GGA-PBE) results for LiPu5Ru6 after structural relaxation.

Its formation energy is -0.0519 eV per atom. The density of states at the Fermi level is 2.72 states/eV per atom. The total energy comes out at -10.821 eV/atom. The calculated volume comes out at 18.4 Å³ per atom.

It has space group C2/m (No. 12), with a = 8.171 Å, b = 14.288 Å, c = 4.544 Å, α = 90.00°, β = 123.74° and γ = 90.00°. The asymmetric unit holds Li at (0.000, 0.000, 0.000), Pu at (0.000, 0.154, 0.500), Pu at (0.000, 0.331, 0.000), Pu at (0.000, 0.500, 0.500), Ru at (0.232, 0.500, 0.232) and Ru at (0.241, 0.169, 0.241).

---

No. 3
DFT (GGA-PBE) results for LiPu2Ru after structural relaxation.

Its formation energy is 0.3147 eV per atom. The density of states at the Fermi level is 2.83 states/eV per atom. The total energy comes out at -9.649 eV/atom. The calculated volume comes out at 20.3 Å³ per atom.

It has space group R-3m (No. 166, hexagonal axes), with a = 2.9523 Å, b = 2.9523 Å, c = 32.3443 Å, α = 90.00°, β = 90.00° and γ = 120.00°. The asymmetric unit holds Li at (0.0000, 0.0000, 0.0000), Pu at (0.0000, 0.0000, 0.0939) and Ru at (0.0000, 0.0000, 0.5000).